The following is a DFT calculation (PBE) of TmIn2Hg after structural relaxation.

- formation enthalpy at 0 K (eV/atom) = -0.16
- calculated volume (Å³ per atom) = 25.33
- space-group type = P4/mmm, No. 123

abc: 3.645 3.645 7.624
angles: 90.00 90.00 90.00
Positions (direct):
Tm  0.000  0.000  0.000
In  0.500  0.500  0.261
In  0.500  0.500  0.739
Hg  0.000  0.000  0.500